Crystalline MnZn2 at its relaxed geometry, computed with PBE.

Cell: 7.2880 7.2880 4.3834 Å, 90.00 90.00 158.58°
Element x y z (fractional)
1 Mn 0.2234 0.7766 0.7500
2 Mn 0.7766 0.2234 0.2500
3 Zn 0.1187 0.8813 0.2500
4 Zn 0.4403 0.5597 0.2500
5 Zn 0.5597 0.4403 0.7500
6 Zn 0.8813 0.1187 0.7500

Values from the calculation:
M_tot in Bohr magnetons per cell: 5.82
V in Å³/cell: 85
Energy of formation in eV per atom: 0.125
DOS at the Fermi energy in states/eV/cell: 4.05
Mass density in g cm⁻³: 7.26


Crystalline Ce3Ho2Hg6 at its relaxed geometry, computed with PBE.

Cell: 11.9777 11.9777 11.9777 Å, 152.15 152.15 39.80°
Element x y z (fractional)
1 Ce 0.0000 0.0000 0.0000
2 Ce 0.1412 0.1412 0.0000
3 Ce 0.8588 0.8588 0.0000
4 Ho 0.4189 0.4189 0.0000
5 Ho 0.5811 0.5811 0.0000
6 Hg 0.0699 0.5699 0.5000
7 Hg 0.2840 0.2840 0.0000
8 Hg 0.4301 0.9301 0.5000
9 Hg 0.5699 0.0699 0.5000
10 Hg 0.7160 0.7160 0.0000
11 Hg 0.9301 0.4301 0.5000

Values from the calculation:
M_tot in Bohr magnetons per cell: 5.01
V in Å³/cell: 374
Energy of formation in eV per atom: 0.005
DOS at the Fermi energy in states/eV/cell: 26.57
Mass density in g cm⁻³: 8.67


Crystalline Ca3ReW at its relaxed geometry, computed with PBE.

Cell: 5.4410 5.4410 5.4410 Å, 90.00 90.00 90.00°
Element x y z (fractional)
1 Ca 0.0000 0.0000 0.5000
2 Ca 0.0000 0.5000 0.0000
3 Ca 0.5000 0.0000 0.0000
4 Re 0.5000 0.5000 0.5000
5 W 0.0000 0.0000 0.0000

Values from the calculation:
M_tot in Bohr magnetons per cell: 4.96
V in Å³/cell: 161
Energy of formation in eV per atom: 2.016
DOS at the Fermi energy in states/eV/cell: 5.76
Energy above the most stable polymorph in this dataset in meV per atom: 37
Mass density in g cm⁻³: 5.05


Crystalline Tb6Ho2Er3In at its relaxed geometry, computed with PBE.

Cell: 6.0799 6.0799 11.5981 Å, 95.03 95.03 120.05°
Element x y z (fractional)
1 Tb 0.0824 0.4113 0.7480
2 Tb 0.2462 0.2462 0.2507
3 Tb 0.4113 0.0824 0.7480
4 Tb 0.5887 0.9176 0.2520
5 Tb 0.7538 0.7538 0.7493
6 Tb 0.9176 0.5887 0.2520
7 Ho 0.3340 0.6660 0.5000
8 Ho 0.6660 0.3340 0.5000
9 Er 0.1672 0.8328 0.0000
10 Er 0.5000 0.5000 0.0000
11 Er 0.8328 0.1672 0.0000
12 In 0.0000 0.0000 0.5000

Values from the calculation:
M_tot in Bohr magnetons per cell: 0.00
V in Å³/cell: 365
Energy of formation in eV per atom: -0.041
DOS at the Fermi energy in states/eV/cell: 14.62
Mass density in g cm⁻³: 8.64


Crystalline TlBPt2S at its relaxed geometry, computed with PBE.

Cell: 4.4239 4.4239 5.9978 Å, 90.00 90.00 90.00°
Element x y z (fractional)
1 Tl 0.0000 0.0000 0.0000
2 B 0.5000 0.5000 0.0000
3 Pt 0.0000 0.5000 0.5000
4 Pt 0.5000 0.0000 0.5000
5 S 0.0000 0.0000 0.5000

Values from the calculation:
M_tot in Bohr magnetons per cell: 0.00
V in Å³/cell: 117
DOS at the Fermi energy in states/eV/cell: 2.08
Mass density in g cm⁻³: 9.02
Uncorrected formation energy in kcal/mol of atoms: 26.4


Crystalline NdZn3Ir at its relaxed geometry, computed with PBE.

Cell: 6.4190 6.4190 5.6343 Å, 90.00 90.00 125.00°
Element x y z (fractional)
1 Nd 0.2433 0.7567 0.7500
2 Nd 0.7567 0.2433 0.2500
3 Zn 0.2549 0.2549 0.0000
4 Zn 0.2549 0.2549 0.5000
5 Zn 0.3566 0.6434 0.2500
6 Zn 0.6434 0.3566 0.7500
7 Zn 0.7451 0.7451 0.0000
8 Zn 0.7451 0.7451 0.5000
9 Ir 0.1363 0.8637 0.2500
10 Ir 0.8637 0.1363 0.7500

Values from the calculation:
M_tot in Bohr magnetons per cell: 0.00
V in Å³/cell: 190
Energy of formation in eV per atom: -0.371
DOS at the Fermi energy in states/eV/cell: 5.36
Energy above the most stable polymorph in this dataset in meV per atom: 0
Mass density in g cm⁻³: 9.30


Crystalline La3SmPb5 at its relaxed geometry, computed with PBE.

Cell: 9.8536 9.8536 6.7707 Å, 90.00 90.00 120.00°
Element x y z (fractional)
1 La 0.0000 0.3813 0.2500
2 La 0.0000 0.6187 0.7500
3 La 0.3813 0.0000 0.2500
4 La 0.3813 0.3813 0.7500
5 La 0.6187 0.0000 0.7500
6 La 0.6187 0.6187 0.2500
7 Sm 0.0000 0.0000 0.0000
8 Sm 0.0000 0.0000 0.5000
9 Pb 0.0000 0.2855 0.7500
10 Pb 0.0000 0.7145 0.2500
11 Pb 0.2855 0.0000 0.7500
12 Pb 0.2855 0.2855 0.2500
13 Pb 0.3333 0.6667 0.0000
14 Pb 0.3333 0.6667 0.5000
15 Pb 0.6667 0.3333 0.0000
16 Pb 0.6667 0.3333 0.5000
17 Pb 0.7145 0.0000 0.2500
18 Pb 0.7145 0.7145 0.7500

Values from the calculation:
M_tot in Bohr magnetons per cell: 0.00
V in Å³/cell: 569
Energy of formation in eV per atom: -0.533
DOS at the Fermi energy in states/eV/cell: 19.37
Mass density in g cm⁻³: 9.35


Crystalline BeAl2Tc at its relaxed geometry, computed with PBE.

Cell: 2.6223 2.8161 7.4989 Å, 90.00 90.00 90.00°
Element x y z (fractional)
1 Be 0.0000 0.0000 0.0000
2 Al 0.0000 0.0000 0.4685
3 Al 0.5000 0.5000 0.7730
4 Tc 0.5000 0.5000 0.2109

Values from the calculation:
M_tot in Bohr magnetons per cell: 0.00
V in Å³/cell: 55
Energy of formation in eV per atom: 0.046
DOS at the Fermi energy in states/eV/cell: 2.45
Mass density in g cm⁻³: 4.83